# 1
Here is LiCr2Mo at its PBEsol-relaxed geometry from the Alexandria database. Energies are from meta-GGA SCAN.

Cell: 4.183 4.183 4.183 Å, 90.03 119.99 119.99°
Fractional positions:
Mo  0.000  0.500  0.500
Li  0.000  0.000  0.000
Cr  0.500  0.250  0.750
Cr  0.500  0.750  0.250

Calculated values
- excess energy over the best structure of this formula in the dataset (meV/atom) = 0
- Fermi-level density of states (states/eV/atom) = 0.34
- ΔH_f (0 K) (meV per atom) = 287
- total DFT energy (no corrections) (eV per atom) = -18.225
- theoretical density (Mg/m³) = 6.6
- space-group type = Fm-3m



# 2
Here is CsGaP3HO10 at its PBEsol-relaxed geometry from the Alexandria database. Energies are from meta-GGA SCAN.

Cell: 6.236 6.312 6.312 Å, 92.42 105.72 74.28°
Fractional positions:
O  0.661  0.659  0.555
O  0.032  0.628  0.924
O  0.053  0.289  0.621
O  0.141  0.260  0.138
O  0.859  0.138  0.260
O  0.339  0.555  0.659
O  0.947  0.621  0.289
O  0.361  0.546  0.260
O  0.968  0.924  0.628
O  0.639  0.260  0.546
Cs  0.500  0.945  0.945
Ga  0.000  0.609  0.609
P  0.104  0.510  0.145
P  0.500  0.513  0.513
P  0.896  0.145  0.510
H  0.000  0.197  0.197

Calculated values
- Fermi-level density of states (states/eV/atom) = 0.00
- total DFT energy (no corrections) (eV per atom) = -11.766
- theoretical density (Mg/m³) = 3.3
- space-group type = C2



# 3
Here is ZrMnCr2Si at its PBEsol-relaxed geometry from the Alexandria database. Energies are from meta-GGA SCAN.

Cell: 4.197 4.298 4.298 Å, 90.00 90.00 90.00°
Fractional positions:
Mn  0.500  0.000  0.000
Cr  0.000  0.500  0.000
Cr  0.000  0.000  0.500
Si  0.000  0.000  0.000
Zr  0.500  0.500  0.500

Calculated values
- formation energy (no corrections) (meV/atom) = 409.5
- Fermi-level density of states (states/eV/atom) = 0.90
- total DFT energy (no corrections) (eV per atom) = -18.738
- theoretical density (Mg/m³) = 6.0
- space-group type = P4/mmm



# 4
Here is BeReSbTe2 at its PBEsol-relaxed geometry from the Alexandria database. Energies are from meta-GGA SCAN.

Cell: 5.101 5.200 5.200 Å, 90.00 90.00 90.00°
Fractional positions:
Te  0.000  0.000  0.500
Te  0.000  0.500  0.000
Re  0.000  0.000  0.000
Sb  0.500  0.000  0.000
Be  0.500  0.500  0.500

Calculated values
- formation energy (no corrections) (meV/atom) = 1227.1
- Fermi-level density of states (states/eV/atom) = 1.12
- total DFT energy (no corrections) (eV per atom) = -36.216
- theoretical density (Mg/m³) = 6.9
- space-group type = P4/mmm



# 5
Here is ZnMo2As at its PBEsol-relaxed geometry from the Alexandria database. Energies are from meta-GGA SCAN.

Cell: 2.745 2.745 8.922 Å, 90.00 90.00 108.37°
Fractional positions:
Mo  0.000  0.000  0.993
Mo  0.500  0.500  0.756
Zn  0.000  0.000  0.521
As  0.500  0.500  0.229

Calculated values
- excess energy over the best structure of this formula in the dataset (meV/atom) = 0
- Fermi-level density of states (states/eV/atom) = 0.46
- ΔH_f (0 K) (meV per atom) = 187
- total DFT energy (no corrections) (eV per atom) = -25.682
- theoretical density (Mg/m³) = 8.6
- space-group type = Cmm2



# 6
Here is DyMn2Ge2 at its PBEsol-relaxed geometry from the Alexandria database. Energies are from meta-GGA SCAN.

Cell: 3.874 3.874 5.982 Å, 108.89 108.89 90.00°
Fractional positions:
Ge  0.381  0.381  0.761
Ge  0.619  0.619  0.239
Dy  0.000  0.000  0.000
Mn  0.750  0.250  0.500
Mn  0.250  0.750  0.500

Calculated values
- Fermi-level density of states (states/eV/atom) = 0.50
- ΔH_f (0 K) (meV per atom) = -636
- total DFT energy (no corrections) (eV per atom) = -25.133
- theoretical density (Mg/m³) = 8.7
- space-group type = I4/mmm